DFT (PBE) results for an optimized crystal structure of LaHoTmSc.

```
data_LaHoTmSc
_space_group_name_H-M_alt 'P 1'
_space_group_IT_number 1
_cell_length_a 5.585
_cell_length_b 5.585
_cell_length_c 5.585
_cell_angle_alpha 60.00
_cell_angle_beta 60.00
_cell_angle_gamma 60.00
loop_
_space_group_symop_operation_xyz
'x,y,z'
loop_
_atom_site_label
_atom_site_type_symbol
_atom_site_fract_x
_atom_site_fract_y
_atom_site_fract_z
_atom_site_occupancy
Sc1 Sc 0.000 0.000 0.000 1
Tm1 Tm 0.500 0.500 0.500 1
Ho1 Ho 0.250 0.250 0.250 1
La1 La 0.750 0.750 0.750 1
```

Output
energy relative to the lowest polymorph listed for this composition = 0.025 eV per atom
E_tot = -4.98 eV/atom
crystal system = cubic
space group = No. 216
calculated volume = 123 Å³ per cell
E_form = 0.0934 eV per atom